A plane-wave DFT calculation with GGA-PBE was carried out for a relaxed structure of Nb2BSbC.

Cell lengths 5.120, 5.120, 4.016 Å; angles 90.00, 90.00, 90.00 degrees
Element x y z (fractional)
Nb 0.000 0.500 0.000
Nb 0.500 0.000 0.000
B 0.000 0.000 0.500
Sb 0.000 0.000 0.000
C 0.500 0.500 0.500

=====

A plane-wave DFT calculation with GGA-PBE was carried out for a relaxed structure of Nb2SiBC.

Cell lengths 4.663, 4.663, 3.499 Å; angles 90.00, 90.00, 90.00 degrees
Element x y z (fractional)
Nb 0.000 0.500 0.000
Nb 0.500 0.000 0.000
Si 0.000 0.000 0.000
B 0.000 0.000 0.500
C 0.500 0.500 0.500

=====

A plane-wave DFT calculation with GGA-PBE was carried out for a relaxed structure of TaNbBC2.

Cell lengths 3.766, 3.766, 4.067 Å; angles 90.00, 90.00, 90.00 degrees
Element x y z (fractional)
Ta 0.000 0.000 0.000
Nb 0.500 0.500 0.000
B 0.500 0.500 0.500
C 0.000 0.500 0.500
C 0.500 0.000 0.500

Values from the calculation:
ΔE_f in kJ per mole of atoms: 182.6

=====

A plane-wave DFT calculation with GGA-PBE was carried out for a relaxed structure of Nd3B4C2.

Cell lengths 5.332, 5.332, 8.894 Å; angles 117.03, 117.03, 33.97 degrees
Element x y z (fractional)
Nd 0.000 0.000 0.000
Nd 0.370 0.370 0.318
Nd 0.630 0.630 0.682
B 0.169 0.169 0.441
B 0.256 0.256 0.980
B 0.744 0.744 0.020
B 0.831 0.831 0.559
C 0.333 0.333 0.631
C 0.667 0.667 0.369

Values from the calculation:
ΔE_f in kJ per mole of atoms: -2.3

=====

A plane-wave DFT calculation with GGA-PBE was carried out for a relaxed structure of Nd2BC.

Cell lengths 3.068, 3.678, 7.456 Å; angles 104.20, 101.72, 90.01 degrees
Element x y z (fractional)
Nd 0.128 0.129 0.260
Nd 0.872 0.871 0.740
B 0.500 0.500 0.000
C 0.000 0.500 0.000

Values from the calculation:
ΔE_f in kJ per mole of atoms: -3.5

=====

A plane-wave DFT calculation with GGA-PBE was carried out for a relaxed structure of Nd2BC.

Cell lengths 6.899, 6.899, 9.592 Å; angles 129.59, 129.59, 30.76 degrees
Element x y z (fractional)
Nd 0.060 0.060 0.361
Nd 0.293 0.293 0.882
Nd 0.707 0.707 0.118
Nd 0.940 0.940 0.639
B 0.425 0.425 0.392
B 0.575 0.575 0.608
C 0.373 0.373 0.198
C 0.627 0.627 0.802

Values from the calculation:
ΔE_f in kJ per mole of atoms: -29.2

=====

no.,total moment (μB per formula unit),VASP energy (eV per atom)
1,0.0,-5.13
2,0.0,-6.60
3,0.0,-7.52
4,0.0,-6.63
5,0.0,-6.40
6,0.0,-6.66